Entry 1:
VASP calculation (PBEsol) on a geometry-optimized In3RuSe structure.

Properties
Space-group type: No. 221
Formation energy without anion corrections, eV per formula unit: 6.1
Crystal system: cubic

```
In3RuSe
1.0
5.196 0.000 0.000
0.000 5.196 0.000
0.000 0.000 5.196
In Ru Se
3 1 1
Direct
0.000 0.500 0.000
0.500 0.000 0.000
0.000 0.000 0.500
0.500 0.500 0.500
0.000 0.000 0.000
```

---

Entry 2:
VASP calculation (PBEsol) on a geometry-optimized InRuSe2 structure.

Properties
Space-group type: No. 99
Formation energy without anion corrections, eV per formula unit: 0.1
Crystal system: tetragonal

```
InRuSe2
1.0
2.992 0.000 0.000
0.000 2.992 0.000
0.000 0.000 8.668
Se Ru In
2 1 1
Direct
0.500 0.500 0.267
0.000 0.000 0.926
0.500 0.500 0.774
0.000 0.000 0.534
```

---

Entry 3:
VASP calculation (PBEsol) on a geometry-optimized In2SiRu structure.

Properties
Space-group type: No. 216
Formation energy without anion corrections, eV per formula unit: 1.8
Crystal system: cubic

```
In2SiRu
1.0
-3.885 -1.784 -1.758
-2.010 -3.626 2.045
-4.009 0.537 2.238
In Ru Si
2 1 1
Direct
0.250 0.250 0.250
0.000 0.000 0.000
0.500 0.500 0.500
0.750 0.750 0.750
```

---

Entry 4:
VASP calculation (PBEsol) on a geometry-optimized InSi2Ru2 structure.

Properties
Space-group type: No. 139
Formation energy without anion corrections, eV per formula unit: -2.2
Crystal system: tetragonal

```
InSi2Ru2
1.0
-0.776 2.103 -2.732
1.719 -2.192 -2.175
-5.585 -3.046 1.527
Si In Ru
2 1 2
Direct
0.750 0.250 0.500
0.250 0.750 0.500
0.000 0.000 0.000
0.383 0.383 0.766
0.617 0.617 0.234
```

---

Entry 5:
VASP calculation (PBEsol) on a geometry-optimized InSi2Ru structure.

Properties
Space-group type: No. 71
Formation energy without anion corrections, eV per formula unit: 0.9
Crystal system: orthorhombic

```
InSi2Ru
1.0
3.104 0.000 0.000
0.000 4.827 0.000
-1.552 -2.414 4.267
Si Ru In
2 1 1
Direct
0.723 0.723 0.446
0.277 0.277 0.554
0.000 0.500 0.000
0.500 0.000 0.000
```

---

Entry 6:
VASP calculation (PBEsol) on a geometry-optimized In2SiRu structure.

Properties
Space-group type: No. 47
Formation energy without anion corrections, eV per formula unit: 0.9
Crystal system: orthorhombic

```
In2SiRu
1.0
-1.700 -1.486 -2.537
-0.266 -3.143 2.019
-4.681 1.752 2.111
In Si Ru
2 1 1
Direct
0.000 0.000 0.246
0.000 0.000 0.754
0.500 0.500 0.500
0.500 0.500 0.000
```

---

Calculated V (Å³/atom), listed in the same order as above: 28.06, 19.40, 17.46, 15.10, 15.99, 17.25